# PmMn2NbO8 PBE+U optimized geometry
data_PmMn2NbO8
_space_group_name_H-M_alt 'C m m m'
_space_group_IT_number 65
_space_group_name_Hall '-C 2 2'
_cell_length_a 6.591
_cell_length_b 6.817
_cell_length_c 6.481
_cell_angle_alpha 90.00
_cell_angle_beta 90.00
_cell_angle_gamma 90.00
loop_
_atom_site_label
_atom_site_fract_x
_atom_site_fract_y
_atom_site_fract_z
Pm1 0.000 0.000 0.000
Mn1 0.000 0.500 0.258
Nb1 0.000 0.000 0.500
O1 0.000 0.309 0.500
O2 0.000 0.335 0.000
O3 0.210 0.000 0.281
# - total energy (eV per cell) = -187.236